Density functional theory data (GGA+U) for a relaxed Li5Ti2Mn3O10 crystal.

a b c (Å): 5.245 5.290 7.877
angles (deg): 107.76 101.15 101.68
Each line ends with the local moment (μB).
Atoms (fractional coordinates):
O  0.577  0.110  0.349  0.02
O  0.952  0.932  0.169  0.08
O  0.315  0.688  0.933  0.02
O  0.137  0.331  0.543  0.00
O  0.423  0.890  0.651  0.02
O  0.049  0.068  0.831  0.08
O  0.779  0.506  0.767  0.01
O  0.221  0.494  0.234  0.01
O  0.863  0.668  0.457  0.00
O  0.686  0.312  0.067  0.02
Li  0.501  0.499  0.501  0.00
Li  0.615  0.704  0.224  0.00
Li  0.779  0.111  0.605  0.00
Li  0.222  0.889  0.395  0.00
Li  0.385  0.296  0.777  0.00
Ti  0.098  0.720  0.686  0.05
Ti  0.903  0.280  0.314  0.05
Mn  0.687  0.886  0.895  4.55
Mn  0.000  0.500  0.000  4.05
Mn  0.313  0.114  0.106  4.55

E ... -7.114 eV/atom
E above lowest polymorph ... 0.0000 eV/atom